[1]
Below is crystalline LiLaAgHg at its relaxed geometry, with properties calculated at the PBE level.

extended XYZ file:
```
4
Lattice="-1.1996 -4.6691 -0.1095 4.6520 -1.1256 -2.9662 -0.5416 2.5116 5.0084" Properties=species:S:1:pos:R:3 pbc="T T T"
Li 0.0437 -2.5383 1.5850
La 2.9092 -0.7536 0.2640
Ag 4.3940 -1.0706 -2.4885
Hg 1.4005 -0.4320 3.0764
```

- ΔE_f: -0.339 eV per atom
- Calculated total energy: -11.3 eV per cell

---

[2]
Below is crystalline LaLuAgHg at its relaxed geometry, with properties calculated at the PBE level.

extended XYZ file:
```
4
Lattice="-1.6795 3.3702 3.7321 2.3857 0.1176 4.7331 2.9941 4.1596 1.3568" Properties=species:S:1:pos:R:3 pbc="T T T"
Lu 0.0000 0.0000 0.0000
Hg 2.7751 5.7356 7.3665
Ag 0.9250 1.9119 2.4555
La 1.8501 3.8237 4.9110
```

- ΔE_f: -0.369 eV per atom
- Calculated total energy: -14.1 eV per cell